Record 1
Entry from the Alexandria database: crystalline Tb3Sm4Th2 at its relaxed geometry (PBE).

Geometry as extended XYZ:
```
9
Lattice="0.1412 1.9580 -3.0486 -6.1272 -6.1127 -4.2098 -4.0107 6.2915 6.0115" Properties=species:S:1:pos:R:3 pbc="T T T"
Tb -4.6798 4.0706 0.2413
Tb -5.3168 -1.9337 -1.4882
Tb 0.0000 0.0000 0.0000
Th -2.6150 4.8196 2.9744
Th -7.3817 -2.6827 -4.2213
Sm -6.5436 1.4453 -1.5312
Sm -7.9034 2.9422 1.5237
Sm -2.0932 -0.8053 -2.7706
Sm -3.4531 0.6916 0.2843
```

Computed properties:
V: 295.99 Å³ per cell



Record 2
Entry from the Alexandria database: crystalline Tb2Sm3Th2 at its relaxed geometry (PBE).

Geometry as extended XYZ:
```
7
Lattice="3.4770 0.0000 0.0000 0.0000 8.6307 -0.8392 -1.7385 -3.6305 8.0478" Properties=species:S:1:pos:R:3 pbc="T T T"
Th 1.7385 3.1311 5.0523
Th 0.0000 1.8690 2.1563
Sm 0.0000 4.3153 -0.4196
Sm 0.0000 5.2984 2.8048
Sm 1.7385 -0.2983 4.4039
Tb 0.0000 -2.3785 6.9583
Tb 1.7385 7.3787 0.2504
```

Computed properties:
V: 230.91 Å³ per cell



| no. | total magnetization (Bohr magnetons per cell) | ΔH_f (0 K) (eV per atom) | theoretical density (g cm⁻³) |
| --- | --- | --- | --- |
| 1 | 0.0 | 0.009 | 8.652 |
| 2 | 0.0 | 0.140 | 8.867 |